Below is a relaxed structure of HoTmBr, with properties calculated at the GGA-PBE level.

Geometry as POSCAR:
```
HoTmBr
1.0
3.6790 0.0000 0.0000
-1.8395 3.1861 0.0000
0.0000 0.0000 7.2094
Ho Tm Br
1 1 1
Direct
0.0000 0.0000 0.0000
0.3333 0.6667 0.6396
0.6667 0.3333 0.3214
```

The calculation puts the electronic total energy at -0.3154 Ry/atom. As for the energy above the most stable polymorph in this dataset: 0 meV per atom. Its calculated volume is 28.2 Å³/atom.